Entry 1:
Na2CaReO4 after structural relaxation, computed with PBE-GGA.

Cell and atoms, written as POSCAR:
```
Na2CaReO4
1.0
-4.7160 2.5148 -0.1734
1.2654 -2.4611 -4.5756
0.1231 -4.0469 3.4932
Na O Ca Re
2 4 1 1
Direct
0.0000 0.0000 0.0000
0.5000 0.7500 0.2500
0.9086 0.6650 0.2176
0.0914 0.3090 0.7565
0.4475 0.7824 0.6910
0.5525 0.2435 0.3350
0.5000 0.2500 0.7500
0.0000 0.5000 0.5000
```

symmetry: I-4, No. 82
energy relative to the elements, uncorrected: -1.7832 eV per atom
D(E_F): 6.1 states/eV/cell
crystal system: tetragonal



Entry 2:
BaCa2In after structural relaxation, computed with PBE-GGA.

Cell and atoms, written as POSCAR:
```
BaCa2In
1.0
-3.7236 0.7910 1.5874
-1.7368 -2.4353 -2.8606
-0.8483 -9.8558 2.9214
Ca Ba In
2 1 1
Direct
0.5000 0.2001 0.2998
0.0000 0.9636 0.0355
0.5000 0.7974 0.7030
0.0000 0.5389 0.4616
```

symmetry: Pm, No. 6
D(E_F): 2.6 states/eV/cell
crystal system: monoclinic
calculated formation energy: -225 meV per atom



Entry 3:
FeRuRh2 after structural relaxation, computed with PBE-GGA.

Cell and atoms, written as POSCAR:
```
FeRuRh2
1.0
4.3216 0.0000 0.0000
0.0000 4.6524 0.0000
0.0000 0.0000 10.7875
Ru Fe Rh
4 4 8
Direct
0.2500 0.0752 0.8126
0.7500 0.4248 0.3126
0.7500 0.9248 0.1874
0.2500 0.5752 0.6874
0.7500 0.9211 0.4363
0.2500 0.5789 0.9363
0.2500 0.0789 0.5637
0.7500 0.4211 0.0637
0.2500 0.0868 0.3171
0.7500 0.9132 0.6829
0.7500 0.4085 0.5599
0.2500 0.5868 0.1829
0.2500 0.5915 0.4401
0.7500 0.9085 0.9401
0.7500 0.4132 0.8171
0.2500 0.0915 0.0599
```

symmetry: Pnma, No. 62
D(E_F): 18.9 states/eV/cell
crystal system: orthorhombic
calculated formation energy: 19 meV per atom



Entry 4:
KTmBr4 after structural relaxation, computed with PBE-GGA.

Cell and atoms, written as POSCAR:
```
KTmBr4
1.0
4.2220 -0.0062 -0.0011
-2.1106 6.6947 -1.6275
0.0017 0.0118 8.3462
Br Tm K
4 1 1
Direct
0.6164 0.2318 0.9145
0.8830 0.7673 0.6870
0.1170 0.2327 0.3130
0.3836 0.7682 0.0855
0.9999 0.0000 0.0000
0.5000 0.0000 0.5000
```

symmetry: P-1, No. 2
energy relative to the elements, uncorrected: -1.8146 eV per atom
D(E_F): 0.0 states/eV/cell
crystal system: triclinic



Entry 5:
Te2RhI after structural relaxation, computed with PBE-GGA.

Cell and atoms, written as POSCAR:
```
Te2RhI
1.0
7.4452 0.0000 -4.0839
4.6262 1.9709 -6.3604
-4.6262 1.9709 6.3604
I Rh Te
1 1 2
Direct
0.5000 0.5000 0.5000
0.0000 0.0000 0.0000
0.6566 0.7541 0.2459
0.3434 0.2459 0.7541
```

symmetry: C2/m, No. 12
energy relative to the elements, uncorrected: -0.2525 eV per atom
D(E_F): 2.9 states/eV/cell
crystal system: monoclinic



Entry 6:
Mg2In3 after structural relaxation, computed with PBE-GGA.

Cell and atoms, written as POSCAR:
```
Mg2In3
1.0
12.1873 -0.0733 -0.0428
11.7258 3.3231 -0.0428
11.7258 1.5936 2.9164
In Mg
3 2
Direct
0.2023 0.2023 0.2023
0.7977 0.7977 0.7977
0.0000 0.0000 0.0000
0.6012 0.6012 0.6012
0.3988 0.3988 0.3988
```

symmetry: R-3m, No. 166
D(E_F): 1.7 states/eV/cell
crystal system: trigonal
calculated formation energy: -72 meV per atom



Entry 7:
MgAg2Br2Cl2 after structural relaxation, computed with PBE-GGA.

Cell and atoms, written as POSCAR:
```
MgAg2Br2Cl2
1.0
4.0029 0.4424 0.9884
3.0107 7.0898 1.9004
1.9527 3.1972 7.8060
Mg Ag Br Cl
1 2 2 2
Direct
0.0000 0.0000 0.0000
0.7476 0.3495 0.4039
0.2524 0.6505 0.5961
0.2457 0.0283 0.2292
0.7543 0.9717 0.7708
0.7894 0.4197 0.7914
0.2106 0.5803 0.2086
```

symmetry: P-1, No. 2
energy relative to the elements, uncorrected: -0.9001 eV per atom
D(E_F): 0.0 states/eV/cell
crystal system: triclinic



Entry 8:
AsP2Br after structural relaxation, computed with PBE-GGA.

Cell and atoms, written as POSCAR:
```
AsP2Br
1.0
6.0277 0.1623 -0.1202
4.9990 3.3719 -0.1202
1.7335 0.5556 6.9827
P Br As
2 1 1
Direct
0.3412 0.3412 0.1929
0.9778 0.9778 0.1490
0.7697 0.7697 0.6943
0.4113 0.4113 0.4638
```

symmetry: Cm, No. 8
energy relative to the elements, uncorrected: 0.0964 eV per atom
crystal system: monoclinic



Entry 9:
Ca6CdIn2 after structural relaxation, computed with PBE-GGA.

Cell and atoms, written as POSCAR:
```
Ca6CdIn2
1.0
5.6144 0.0000 0.0000
-2.8072 4.8615 0.0067
0.0000 -0.0139 10.5035
In Ca Cd
2 6 1
Direct
0.3334 0.6669 0.7413
0.6666 0.3331 0.2587
0.6667 0.3334 0.9417
0.6667 0.3334 0.5896
0.3333 0.6666 0.4104
0.3333 0.6666 0.0583
0.0001 0.0002 0.7987
0.9999 0.9998 0.2013
0.0000 0.0000 0.5000
```

symmetry: P-3m1, No. 164
D(E_F): 6.2 states/eV/cell
crystal system: trigonal
calculated formation energy: -299 meV per atom



Entry 10:
KMn2ZnBr8 after structural relaxation, computed with PBE-GGA.

Cell and atoms, written as POSCAR:
```
KMn2ZnBr8
1.0
-2.0150 -5.3744 3.7382
-1.5563 0.3139 -6.6632
7.9949 -4.4420 -2.0766
Mn Br Zn K
2 8 1 1
Direct
0.6667 0.3333 0.2681
0.3333 0.6667 0.7319
0.9942 0.3083 0.6682
0.6917 0.6860 0.6682
0.3140 0.0058 0.6682
0.6667 0.3333 0.0137
0.3333 0.6667 0.9863
0.3083 0.3140 0.3318
0.0058 0.6917 0.3318
0.6860 0.9942 0.3318
0.0000 0.0000 0.5000
0.0000 0.0000 0.0000
```

symmetry: P-3, No. 147
energy relative to the elements, uncorrected: -0.8395 eV per atom
D(E_F): 10.3 states/eV/cell
crystal system: trigonal



Entry 11:
FeH2Rh after structural relaxation, computed with PBE-GGA.

Cell and atoms, written as POSCAR:
```
FeH2Rh
1.0
2.7917 0.0000 0.0000
-1.3959 2.4177 0.0000
0.0000 0.0000 13.4714
H Rh Fe
6 3 3
Direct
0.3333 0.6667 0.4201
0.0000 0.0000 0.2465
0.0000 0.0000 0.7535
0.3333 0.6667 0.9132
0.6667 0.3333 0.0868
0.6667 0.3333 0.5799
0.0000 0.0000 0.0000
0.6667 0.3333 0.3333
0.3333 0.6667 0.6667
0.3333 0.6667 0.1667
0.6667 0.3333 0.8333
0.0000 0.0000 0.5000
```

symmetry: R-3m, No. 166
D(E_F): 7.4 states/eV/cell
crystal system: trigonal
E: -5.6370 eV/atom



Entry 12:
LaMoBr2 after structural relaxation, computed with PBE-GGA.

Cell and atoms, written as POSCAR:
```
LaMoBr2
1.0
-1.9791 -4.7152 -0.4335
0.5034 -3.3579 3.8482
-4.0927 -1.3320 2.7952
Br La Mo
2 1 1
Direct
0.2500 0.2500 0.2500
0.7500 0.7500 0.7500
0.5000 0.5000 0.5000
0.0000 0.0000 0.0000
```

symmetry: Fm-3m, No. 225
energy relative to the elements, uncorrected: -0.0432 eV per atom
D(E_F): 2.7 states/eV/cell
crystal system: cubic



Entry 13:
PIrRu2 after structural relaxation, computed with PBE-GGA.

Cell and atoms, written as POSCAR:
```
PIrRu2
1.0
3.7772 0.0000 0.0000
0.0000 3.7772 0.0000
0.0000 0.0000 3.8515
Ir P Ru
1 1 2
Direct
0.5000 0.5000 0.5000
0.0000 0.0000 0.5000
0.5000 0.0000 0.0000
0.0000 0.5000 0.0000
```

symmetry: P4/mmm, No. 123
D(E_F): 6.6 states/eV/cell
crystal system: tetragonal
calculated formation energy: 207 meV per atom



Entry 14:
CrTc2SnH after structural relaxation, computed with PBE-GGA.

Cell and atoms, written as POSCAR:
```
CrTc2SnH
1.0
4.0942 0.0000 0.0000
0.0000 4.0942 0.0000
0.0000 0.0000 3.8590
Tc H Sn Cr
2 1 1 1
Direct
0.5000 0.0000 0.0000
0.0000 0.5000 0.0000
0.0000 0.0000 0.0000
0.5000 0.5000 0.5000
0.0000 0.0000 0.5000
```

symmetry: P4/mmm, No. 123
D(E_F): 5.3 states/eV/cell
crystal system: tetragonal
E: -7.3824 eV/atom



Entry 15:
K2NbOsO6 after structural relaxation, computed with PBE-GGA.

Cell and atoms, written as POSCAR:
```
K2NbOsO6
1.0
5.6417 -0.0001 0.0013
-0.0001 5.6417 0.0011
-2.8213 -2.8212 3.9910
K O Nb Os
2 6 1 1
Direct
0.2499 0.7504 0.4998
0.7499 0.2504 0.4998
0.7539 0.7544 0.9998
0.2458 0.7545 0.9998
0.2460 0.2465 0.4918
0.2458 0.2463 0.9998
0.7538 0.7543 0.5078
0.7540 0.2463 0.9998
0.4999 0.5004 0.9998
0.9999 0.0004 0.9998
```

symmetry: Fm-3m, No. 225
energy relative to the elements, uncorrected: -1.8508 eV per atom
D(E_F): 3.4 states/eV/cell
crystal system: cubic



Entry 16:
Ba2CoIr after structural relaxation, computed with PBE-GGA.

Cell and atoms, written as POSCAR:
```
Ba2CoIr
1.0
-2.2082 -1.2110 3.5541
-1.9463 -3.6810 -2.4635
3.4385 -5.2288 0.3548
Ba Co Ir
2 1 1
Direct
0.0000 0.9841 0.9067
0.5000 0.2679 0.3389
0.0000 0.6614 0.5524
0.5000 0.5866 0.7020
```

symmetry: Amm2, No. 38
D(E_F): 4.3 states/eV/cell
crystal system: orthorhombic
calculated formation energy: 50 meV per atom



Entry 17:
ErNiRuPb after structural relaxation, computed with PBE-GGA.

Cell and atoms, written as POSCAR:
```
ErNiRuPb
1.0
4.6877 0.0000 0.0000
2.3438 4.0597 0.0000
2.3438 1.3532 3.8275
Pb Er Ni Ru
1 1 1 1
Direct
0.0000 0.0000 0.0000
0.5000 0.5000 0.5000
0.2500 0.2500 0.2500
0.7500 0.7500 0.7500
```

symmetry: F-43m, No. 216
D(E_F): 3.9 states/eV/cell
crystal system: cubic
calculated formation energy: -132 meV per atom



Entry 18:
SbTeHI2 after structural relaxation, computed with PBE-GGA.

Cell and atoms, written as POSCAR:
```
SbTeHI2
1.0
6.1244 0.0000 0.0000
0.0000 6.1244 0.0000
0.0000 0.0000 6.1015
H I Te Sb
1 2 1 1
Direct
0.5000 0.5000 0.5000
0.5000 0.0000 0.0000
0.0000 0.5000 0.0000
0.0000 0.0000 0.0000
0.0000 0.0000 0.5000
```

symmetry: P4/mmm, No. 123
D(E_F): 3.0 states/eV/cell
crystal system: tetragonal
E: -2.0002 eV/atom



Entry 19:
Na8Tl2Hg3 after structural relaxation, computed with PBE-GGA.

Cell and atoms, written as POSCAR:
```
Na8Tl2Hg3
1.0
5.6060 0.0141 1.4416
2.0165 8.0962 0.5239
0.0218 0.0368 8.3599
Na Tl Hg
8 2 3
Direct
0.7940 0.4352 0.4352
0.3559 0.3987 0.9127
0.2060 0.5648 0.5648
0.6441 0.0873 0.6013
0.9315 0.1406 0.1406
0.0685 0.8594 0.8594
0.3559 0.9127 0.3987
0.6441 0.6013 0.0873
0.6399 0.7163 0.7163
0.3601 0.2837 0.2837
0.5000 0.0000 0.0000
0.0000 0.7503 0.2497
0.0000 0.2497 0.7503
```

symmetry: C2/m, No. 12
D(E_F): 6.0 states/eV/cell
crystal system: monoclinic
calculated formation energy: -119 meV per atom



Entry 20:
BaLiIn2Se4 after structural relaxation, computed with PBE-GGA.

Cell and atoms, written as POSCAR:
```
BaLiIn2Se4
1.0
7.2538 0.0000 0.0000
3.6269 5.7021 0.3212
3.6269 0.7874 5.6566
In Ba Se Li
2 1 4 1
Direct
0.7497 0.7503 0.7503
0.2503 0.2497 0.2497
0.0000 0.0000 0.0000
0.1426 0.8571 0.4389
0.5614 0.4389 0.8571
0.8574 0.5611 0.1429
0.4386 0.1429 0.5611
0.5000 0.5000 0.5000
```

symmetry: I-42m, No. 121
energy relative to the elements, uncorrected: -0.9173 eV per atom
D(E_F): 2.8 states/eV/cell
crystal system: tetragonal